Material: Ni3B2W
Method: DFT, PBE
State: relaxed

abc: 4.3147 7.5811 7.2411
angles: 90.00 90.00 90.00
Closest atoms and distances in Å follow each position.
Space group Fmm2 (No. 42)
One atom of each set of equivalent atoms:
Ni 0.0000 0.0000 0.0000 [4 per cell]  4 B 2.26, 3 W 2.39-2.48
Ni 0.0000 0.1664 0.6695 [8 per cell]  4 B 2.19-2.21
B 0.2500 0.2500 0.4205 [8 per cell]  2 B 2.16, 6 Ni 2.19-2.26, 2 W 2.28
W 0.0000 0.0000 0.3307 [4 per cell]  4 B 2.28, 3 Ni 2.39-2.48

Calculated values
V = 236.9 Å³/cell
Total energy = -7.31 eV/atom